(1)
First-principles (GGA-PBE) data for a relaxed Pa2GePd8 crystal, as listed in the Alexandria database.

Cell: 4.6562 8.2173 8.2173 Å, 39.76 91.33 91.33°
Sites, in units of the cell vectors:
Pa1 0.7588 0.2823 0.2823
Pa2 0.2412 0.7177 0.7177
Ge1 0.0000 0.0000 0.0000
Pd1 0.2478 0.1383 0.6222
Pd2 0.2478 0.6222 0.1383
Pd3 0.7522 0.8617 0.3778
Pd4 0.2527 0.5491 0.5491
Pd5 0.7522 0.3778 0.8617
Pd6 0.2539 0.1566 0.1566
Pd7 0.7461 0.8434 0.8434
Pd8 0.7473 0.4509 0.4509

Output
**Space-group type**: C2/m, No. 12
**Energy**: -6.423 eV/atom
**Crystal system**: monoclinic

(2)
First-principles (GGA-PBE) data for a relaxed Tl2ReAg crystal, as listed in the Alexandria database.

Cell: 2.9803 4.6339 5.9993 Å, 90.00 90.00 90.00°
Sites, in units of the cell vectors:
Re1 0.5000 0.5000 0.7787
Tl1 0.0000 0.0000 0.9451
Tl2 0.5000 0.5000 0.2889
Ag1 0.0000 0.0000 0.4873

Output
**Space-group type**: Pmm2, No. 25
**Energy above the lowest structure with this stoichiometry**: 0.147 eV per atom
**Crystal system**: orthorhombic

(3)
First-principles (GGA-PBE) data for a relaxed LaReH2 crystal, as listed in the Alexandria database.

Cell: 5.2866 5.2866 5.2073 Å, 59.49 59.49 90.00°
Sites, in units of the cell vectors:
Re1 0.0000 0.0000 0.0000
Re2 0.7500 0.2500 0.5000
H1 0.7128 0.1250 0.2500
H2 0.0372 0.6250 0.2500
H3 0.3750 0.2872 0.7500
H4 0.8750 0.9628 0.7500
La1 0.5000 0.5000 0.0000
La2 0.2500 0.7500 0.5000

Output
**Space-group type**: I-42d, No. 122
**Energy above the lowest structure with this stoichiometry**: 0.000 eV per atom
**Crystal system**: tetragonal

(4)
First-principles (GGA-PBE) data for a relaxed LiLa4Au5 crystal, as listed in the Alexandria database.

Cell: 3.7119 3.7119 18.1934 Å, 90.00 90.00 90.00°
Sites, in units of the cell vectors:
Li1 0.0000 0.0000 0.0000
La1 0.0000 0.0000 0.1799
La2 0.0000 0.0000 0.3941
La3 0.0000 0.0000 0.6059
La4 0.0000 0.0000 0.8201
Au1 0.5000 0.5000 0.0778
Au2 0.5000 0.5000 0.2879
Au3 0.5000 0.5000 0.5000
Au4 0.5000 0.5000 0.7121
Au5 0.5000 0.5000 0.9222

Output
**Space-group type**: P4/mmm, No. 123
**Energy**: -4.521 eV/atom
**Crystal system**: tetragonal

(5)
First-principles (GGA-PBE) data for a relaxed Ho3Er5Cd2 crystal, as listed in the Alexandria database.

Cell: 6.5801 10.2578 10.2578 Å, 88.22 71.29 71.29°
Sites, in units of the cell vectors:
Ho1 0.2500 0.0000 0.0000
Ho2 0.7500 0.0000 0.0000
Ho3 0.3590 0.3576 0.9244
Ho4 0.6410 0.6424 0.0756
Ho5 0.8590 0.9244 0.3576
Ho6 0.1410 0.0756 0.6424
Er1 0.2500 0.5000 0.5000
Er2 0.7500 0.5000 0.5000
Er3 0.5118 0.7382 0.7382
Er4 0.9882 0.2618 0.2618
Er5 0.4882 0.2618 0.2618
Er6 0.0118 0.7382 0.7382
Er7 0.0974 0.5756 0.2295
Er8 0.9026 0.4244 0.7705
Er9 0.5974 0.2295 0.5756
Er10 0.4026 0.7705 0.4244
Cd1 0.1330 0.7338 0.0003
Cd2 0.8670 0.2662 0.9997
Cd3 0.6330 0.0003 0.7338
Cd4 0.3670 0.9997 0.2662

Output
**Space-group type**: Ibam, No. 72
**Energy**: -3.655 eV/atom
**Crystal system**: orthorhombic

(6)
First-principles (GGA-PBE) data for a relaxed LiInS2 crystal, as listed in the Alexandria database.

Cell: 9.9961 9.9961 4.6175 Å, 90.00 90.00 158.65°
Sites, in units of the cell vectors:
S1 0.1995 0.8005 0.2500
S2 0.8005 0.1995 0.7500
S3 0.9225 0.0775 0.2500
S4 0.0775 0.9225 0.7500
Li1 0.0495 0.9505 0.2500
Li2 0.9505 0.0495 0.7500
In1 0.3261 0.6739 0.2500
In2 0.6739 0.3261 0.7500

Output
**Space-group type**: Cmcm, No. 63
**Uncorrected formation energy**: -613 meV/atom
**Crystal system**: orthorhombic

(7)
First-principles (GGA-PBE) data for a relaxed TiTc3B crystal, as listed in the Alexandria database.

Cell: 4.4901 4.4901 4.4901 Å, 90.00 90.00 90.00°
Site moments in Bohr magnetons follow the coordinates.
Sites, in units of the cell vectors:
B1 0.5000 0.5000 0.5000  -0.03
Tc1 0.0000 0.5000 0.0000  0.81
Tc2 0.0000 0.0000 0.5000  0.85
Tc3 0.5000 0.0000 0.0000  0.96
Ti1 0.0000 0.0000 0.0000  -0.11

Output
**Space-group type**: Pm-3m, No. 221
**Energy above the lowest structure with this stoichiometry**: 2.294 eV per atom
**Crystal system**: cubic

(8)
First-principles (GGA-PBE) data for a relaxed TiNbZnW crystal, as listed in the Alexandria database.

Cell: 4.5292 4.5292 4.5292 Å, 60.00 60.00 60.00°
Sites, in units of the cell vectors:
Nb1 0.7500 0.7500 0.7500
Zn1 0.5000 0.5000 0.5000
W1 0.0000 0.0000 0.0000
Ti1 0.2500 0.2500 0.2500

Output
**Space-group type**: F-43m, No. 216
**Energy above the lowest structure with this stoichiometry**: 0.081 eV per atom
**Crystal system**: cubic

(9)
First-principles (GGA-PBE) data for a relaxed NaEuAg4 crystal, as listed in the Alexandria database.

Cell: 5.7536 5.7536 5.7536 Å, 60.00 60.00 60.00°
Site moments in Bohr magnetons follow the coordinates.
Sites, in units of the cell vectors:
Eu1 0.2500 0.2500 0.2500  -6.94
Na1 0.0000 0.0000 0.0000  -0.01
Ag1 0.6255 0.6255 0.1236  -0.04
Ag2 0.6255 0.1236 0.6255  -0.04
Ag3 0.6255 0.6255 0.6255  -0.04
Ag4 0.1236 0.6255 0.6255  -0.04

Output
**Space-group type**: F-43m, No. 216
**Energy**: -3.995 eV/atom
**Crystal system**: cubic

(10)
First-principles (GGA-PBE) data for a relaxed BaCuPt2Se crystal, as listed in the Alexandria database.

Cell: 4.6848 5.8830 4.6848 Å, 90.00 90.00 90.00°
Sites, in units of the cell vectors:
Cu1 0.0000 0.0000 0.0000
Se1 0.5000 0.5000 0.5000
Ba1 0.0000 0.5000 0.0000
Pt1 0.0000 0.0000 0.5000
Pt2 0.5000 0.0000 0.0000

Output
**Space-group type**: P4/mmm, No. 123
**Uncorrected formation energy**: 185 meV/atom
**Crystal system**: tetragonal

(11)
First-principles (GGA-PBE) data for a relaxed LiPm2Ga3Pt4 crystal, as listed in the Alexandria database.

Cell: 4.1012 4.1012 11.2765 Å, 90.00 90.00 90.00°
Sites, in units of the cell vectors:
Li1 0.5000 0.5000 0.5000
Pm1 0.5000 0.0000 0.2515
Pm2 0.0000 0.5000 0.7485
Ga1 0.0000 0.0000 0.5000
Ga2 0.5000 0.0000 0.8676
Ga3 0.0000 0.5000 0.1324
Pt1 0.5000 0.5000 0.0000
Pt2 0.0000 0.0000 0.0000
Pt3 0.5000 0.0000 0.6443
Pt4 0.0000 0.5000 0.3557

Output
**Space-group type**: P-4m2, No. 115
**Energy**: -5.399 eV/atom
**Crystal system**: tetragonal

(12)
First-principles (GGA-PBE) data for a relaxed Sc2Mn2Ge3 crystal, as listed in the Alexandria database.

Cell: 3.9144 7.4014 5.8588 Å, 128.88 109.52 90.00°
Sites, in units of the cell vectors:
Sc1 0.4394 0.2057 0.8789
Sc2 0.5606 0.7943 0.1211
Mn1 0.2280 0.4000 0.4560
Mn2 0.7720 0.6000 0.5440
Ge1 0.0000 0.0000 0.0000
Ge2 0.1632 0.6545 0.3263
Ge3 0.8368 0.3455 0.6737

Output
**Space-group type**: C2/m, No. 12
**Energy**: -6.789 eV/atom
**Crystal system**: monoclinic

(13)
First-principles (GGA-PBE) data for a relaxed DySc2Co9 crystal, as listed in the Alexandria database.

Cell: 4.8898 4.8898 8.4080 Å, 73.10 73.10 60.00°
Site moments in Bohr magnetons follow the coordinates.
Sites, in units of the cell vectors:
Dy1 0.0000 0.0000 0.0000  -0.32
Sc1 0.8588 0.8588 0.4235  -0.33
Sc2 0.1412 0.1412 0.5765  -0.33
Co1 0.6646 0.6646 0.0062  1.45
Co2 0.3354 0.3354 0.9938  1.45
Co3 0.5000 0.5000 0.5000  1.32
Co4 0.4129 0.4129 0.2523  1.33
Co5 0.9218 0.4129 0.2523  1.33
Co6 0.4129 0.9218 0.2523  1.33
Co7 0.5871 0.5871 0.7477  1.33
Co8 0.5871 0.0782 0.7477  1.33
Co9 0.0782 0.5871 0.7477  1.33

Output
**Space-group type**: R-3m, No. 166
**Energy**: -7.022 eV/atom
**Crystal system**: trigonal

(14)
First-principles (GGA-PBE) data for a relaxed Pm2Zn4Cd crystal, as listed in the Alexandria database.

Cell: 4.8075 4.8075 8.4988 Å, 106.43 106.43 90.00°
Sites, in units of the cell vectors:
Pm1 0.6351 0.6351 0.2701
Pm2 0.3649 0.3649 0.7299
Zn1 0.0000 0.5000 0.0000
Zn2 0.5000 0.0000 0.0000
Zn3 0.8252 0.8252 0.6505
Zn4 0.1748 0.1748 0.3495
Cd1 0.0000 0.0000 0.0000

Output
**Space-group type**: I4/mmm, No. 139
**Energy above the lowest structure with this stoichiometry**: 0.253 eV per atom
**Crystal system**: tetragonal

(15)
First-principles (GGA-PBE) data for a relaxed TbNd2Ag3 crystal, as listed in the Alexandria database.

Cell: 3.6991 3.6991 11.2883 Å, 90.00 90.00 90.00°
Sites, in units of the cell vectors:
Tb1 0.5000 0.5000 0.5000
Nd1 0.5000 0.5000 0.8297
Nd2 0.5000 0.5000 0.1703
Ag1 0.0000 0.0000 0.0000
Ag2 0.0000 0.0000 0.6550
Ag3 0.0000 0.0000 0.3450

Output
**Space-group type**: P4/mmm, No. 123
**Energy**: -4.065 eV/atom
**Crystal system**: tetragonal

(16)
First-principles (GGA-PBE) data for a relaxed Ca2ScBe2 crystal, as listed in the Alexandria database.

Cell: 8.1992 8.1992 3.2169 Å, 90.00 90.00 90.00°
Sites, in units of the cell vectors:
Sc1 0.0000 0.0000 0.0000
Sc2 0.5000 0.5000 0.0000
Be1 0.1583 0.6583 0.5000
Be2 0.6583 0.8417 0.5000
Be3 0.8417 0.3417 0.5000
Be4 0.3417 0.1583 0.5000
Ca1 0.3612 0.8612 0.0000
Ca2 0.8612 0.6388 0.0000
Ca3 0.6388 0.1388 0.0000
Ca4 0.1388 0.3612 0.0000

Output
**Space-group type**: P4/mbm, No. 127
**Energy above the lowest structure with this stoichiometry**: 0.010 eV per atom
**Crystal system**: tetragonal

(17)
First-principles (GGA-PBE) data for a relaxed CaTa4Te crystal, as listed in the Alexandria database.

Cell: 5.7183 5.7183 5.7183 Å, 60.00 60.00 60.00°
Sites, in units of the cell vectors:
Ca1 0.0000 0.0000 0.0000
Ta1 0.8883 0.3706 0.3706
Ta2 0.3706 0.3706 0.8883
Ta3 0.3706 0.8883 0.3706
Ta4 0.3706 0.3706 0.3706
Te1 0.7500 0.7500 0.7500

Output
**Space-group type**: F-43m, No. 216
**Uncorrected formation energy**: 520 meV/atom
**Crystal system**: cubic

(18)
First-principles (GGA-PBE) data for a relaxed GdMgCdBi crystal, as listed in the Alexandria database.

Cell: 5.3371 5.3371 5.3371 Å, 60.00 60.00 60.00°
Site moments in Bohr magnetons follow the coordinates.
Sites, in units of the cell vectors:
Mg1 0.0000 0.0000 0.0000  0.00
Gd1 0.5000 0.5000 0.5000  7.03
Bi1 0.2500 0.2500 0.2500  0.00
Cd1 0.7500 0.7500 0.7500  0.00

Output
**Space-group type**: F-43m, No. 216
**Energy**: -5.399 eV/atom
**Crystal system**: cubic

(19)
First-principles (GGA-PBE) data for a relaxed TbDyThCd crystal, as listed in the Alexandria database.

Cell: 3.6118 3.6118 8.8783 Å, 90.00 90.00 90.00°
Sites, in units of the cell vectors:
Tb1 0.0000 0.0000 0.0897
Dy1 0.0000 0.0000 0.5522
Th1 0.5000 0.5000 0.8203
Cd1 0.5000 0.5000 0.3225

Output
**Space-group type**: P4mm, No. 99
**Energy above the lowest structure with this stoichiometry**: 0.000 eV per atom
**Crystal system**: tetragonal

(20)
First-principles (GGA-PBE) data for a relaxed LiEuMg4 crystal, as listed in the Alexandria database.

Cell: 6.1082 6.1082 6.1082 Å, 60.00 60.00 60.00°
Site moments in Bohr magnetons follow the coordinates.
Sites, in units of the cell vectors:
Eu1 0.2500 0.2500 0.2500  6.95
Mg1 0.6254 0.6254 0.1238  0.01
Mg2 0.6254 0.1238 0.6254  0.01
Mg3 0.6254 0.6254 0.6254  0.01
Mg4 0.1238 0.6254 0.6254  0.01
Li1 0.0000 0.0000 0.0000  0.00

Output
**Space-group type**: F-43m, No. 216
**Energy**: -3.114 eV/atom
**Crystal system**: cubic